Record 1
DFT (PBEsol) results for crystalline AlAuBr2 at its relaxed geometry.

Structure (POSCAR):
```
AlAuBr2
1.0
-3.799 3.799 3.459
3.799 -3.799 3.459
3.799 3.799 -3.459
Al Au Br
2 2 4
direct
0.000 0.000 0.000
0.750 0.250 0.500
0.250 0.750 0.500
0.500 0.500 0.000
0.159 0.625 0.034
0.375 0.409 0.534
0.591 0.125 0.966
0.875 0.841 0.466
```

- SG = I-42d, No. 122
- total magnetization (μB/atom) = 0.000
- raw total energy (eV per atom) = -2.87

=====

Record 2
DFT (PBEsol) results for crystalline CaOsBr2 at its relaxed geometry.

Structure (POSCAR):
```
CaOsBr2
1.0
8.109 -1.628 0.000
8.109 1.628 0.000
-0.884 0.000 3.708
Ca Os Br
1 1 2
direct
0.000 0.000 0.000
0.653 0.653 0.162
0.190 0.190 0.699
0.406 0.406 0.408
```

- SG = Cm, No. 8
- N(E_F) (states/eV/atom) = 0.329
- total magnetization (μB/atom) = 0.000
- raw total energy (eV per atom) = -4.57

=====

Record 3
DFT (PBEsol) results for crystalline AsRhBr at its relaxed geometry.

Structure (POSCAR):
```
AsRhBr
1.0
3.609 0.000 0.000
-1.805 3.126 0.000
0.000 0.000 5.334
As Rh Br
1 1 1
direct
0.000 0.000 0.000
0.667 0.333 0.213
0.333 0.667 0.526
```

- SG = P3m1, No. 156
- N(E_F) (states/eV/atom) = 0.553
- total magnetization (μB/atom) = 0.000
- raw total energy (eV per atom) = -5.28

=====

Record 4
DFT (PBEsol) results for crystalline Sr4CaHoCu6Pb4O16 at its relaxed geometry.

Structure (POSCAR):
```
Sr4CaHoCu6Pb4O16
1.0
5.326 0.000 0.000
0.001 5.359 0.000
0.307 0.008 15.596
Sr Ca Ho Cu Pb O
4 1 1 6 4 16
direct
0.012 0.499 0.283
0.487 0.000 0.719
0.513 0.000 0.281
0.988 0.501 0.717
0.000 0.500 0.500
0.500 0.000 0.500
0.000 0.500 0.000
0.006 0.999 0.395
0.494 0.500 0.604
0.500 0.000 0.000
0.506 0.500 0.396
0.994 0.001 0.605
0.009 0.003 0.111
0.492 0.503 0.889
0.508 0.497 0.111
0.991 0.997 0.889
0.015 0.989 0.250
0.058 0.439 0.114
0.250 0.245 0.594
0.250 0.756 0.596
0.260 0.244 0.404
0.260 0.755 0.406
0.441 0.939 0.886
0.485 0.491 0.750
0.515 0.509 0.250
0.559 0.061 0.114
0.740 0.245 0.594
0.740 0.756 0.596
0.750 0.244 0.404
0.750 0.755 0.406
0.942 0.561 0.886
0.985 0.011 0.750
```

- SG = P-1, No. 2
- N(E_F) (states/eV/atom) = 0.250
- total magnetization (μB/atom) = 0.000
- raw total energy (eV per atom) = -6.07

=====

Record 5
DFT (PBEsol) results for crystalline TcSbCl2 at its relaxed geometry.

Structure (POSCAR):
```
TcSbCl2
1.0
3.120 0.000 0.000
0.000 2.129 6.814
0.000 -2.129 6.814
Tc Sb Cl
1 1 2
direct
0.000 0.000 0.000
0.500 0.573 0.573
0.000 0.179 0.179
0.500 0.873 0.873
```

- SG = Amm2, No. 38
- N(E_F) (states/eV/atom) = 0.452
- total magnetization (μB/atom) = 0.000
- raw total energy (eV per atom) = -5.12

=====

Record 6
DFT (PBEsol) results for crystalline KFeIr2 at its relaxed geometry.

Structure (POSCAR):
```
KFeIr2
1.0
1.360 0.785 9.968
-1.360 0.785 9.968
0.000 -1.570 9.968
K Fe Ir
1 1 2
direct
0.000 0.000 0.000
0.235 0.235 0.235
0.502 0.502 0.502
0.760 0.760 0.760
```

- SG = R3m, No. 160
- N(E_F) (states/eV/atom) = 0.772
- DFT formation energy (eV/atom) = 0.6423
- total magnetization (μB/atom) = 0.586

=====

Record 7
DFT (PBEsol) results for crystalline Te2PtPbN at its relaxed geometry.

Structure (POSCAR):
```
Te2PtPbN
1.0
5.674 0.000 0.000
0.000 5.674 0.000
0.000 0.000 3.675
Te Pt Pb N
2 1 1 1
direct
0.000 0.500 0.000
0.500 0.000 0.000
0.000 0.000 0.000
0.500 0.500 0.500
0.000 0.000 0.500
```

- SG = P4/mmm, No. 123
- N(E_F) (states/eV/atom) = 0.479
- total magnetization (μB/atom) = 0.000
- raw total energy (eV per atom) = -5.09

=====

Record 8
DFT (PBEsol) results for crystalline CsLiW3 at its relaxed geometry.

Structure (POSCAR):
```
CsLiW3
1.0
4.467 0.000 0.000
0.000 4.467 0.000
0.000 0.000 4.467
Cs Li W
1 1 3
direct
0.000 0.000 0.000
0.500 0.500 0.500
0.000 0.500 0.500
0.500 0.000 0.500
0.500 0.500 0.000
```

- SG = Pm-3m, No. 221
- N(E_F) (states/eV/atom) = 1.259
- DFT formation energy (eV/atom) = 2.7479
- total magnetization (μB/atom) = 0.000

=====

Record 9
DFT (PBEsol) results for crystalline TaTiTeH2 at its relaxed geometry.

Structure (POSCAR):
```
TaTiTeH2
1.0
3.742 0.000 0.000
0.000 3.742 0.000
0.000 0.000 5.690
Ta Ti Te H
1 1 1 2
direct
0.000 0.000 0.000
0.500 0.500 0.000
0.500 0.500 0.500
0.000 0.500 0.500
0.500 0.000 0.500
```

- SG = P4/mmm, No. 123
- N(E_F) (states/eV/atom) = 0.879
- total magnetization (μB/atom) = 0.081
- raw total energy (eV per atom) = -5.16

=====

Record 10
DFT (PBEsol) results for crystalline MoP2ICl at its relaxed geometry.

Structure (POSCAR):
```
MoP2ICl
1.0
5.077 0.000 0.000
0.000 5.077 0.000
0.000 0.000 4.988
Mo P I Cl
1 2 1 1
direct
0.000 0.000 0.000
0.000 0.500 0.500
0.500 0.000 0.500
0.500 0.500 0.500
0.500 0.500 0.000
```

- SG = P4/mmm, No. 123
- N(E_F) (states/eV/atom) = 0.599
- total magnetization (μB/atom) = 0.712
- raw total energy (eV per atom) = -3.63

=====

Record 11
DFT (PBEsol) results for crystalline ZrAg4 at its relaxed geometry.

Structure (POSCAR):
```
ZrAg4
1.0
4.820 -1.437 0.000
4.820 1.437 0.000
-3.393 0.000 6.297
Zr Ag
1 4
direct
0.000 0.000 0.000
0.195 0.195 0.796
0.396 0.396 0.592
0.604 0.604 0.408
0.805 0.805 0.204
```

- SG = C2/m, No. 12
- N(E_F) (states/eV/atom) = 0.432
- DFT formation energy (eV/atom) = -0.0375
- total magnetization (μB/atom) = 0.000

=====

Record 12
DFT (PBEsol) results for crystalline LaCd2Rh at its relaxed geometry.

Structure (POSCAR):
```
LaCd2Rh
1.0
0.000 2.881 5.590
2.804 0.000 5.590
2.804 2.881 0.000
La Cd Rh
1 2 1
direct
0.000 0.000 0.000
0.000 0.500 0.500
0.500 0.000 0.000
0.500 0.500 0.500
```

- SG = Fmmm, No. 69
- N(E_F) (states/eV/atom) = 0.466
- DFT formation energy (eV/atom) = -0.1225
- total magnetization (μB/atom) = 0.000